Here is a geometry-optimized NpScMn2O8 structure from Alexandria. Energies are from PBE+U.

Summary:
ρ in g/cm3: 5.707
Symmetry: Cmmm (65)
Total DFT energy (no corrections) in eV/atom: -8.45

a b c (Å): 4.926 4.926 6.248
angles (deg): 90.00 90.00 93.86
Fractional positions:
Np 0.000 0.000 0.000
Sc 0.000 0.000 0.500
Mn 0.500 0.500 0.258
Mn 0.500 0.500 0.742
O 0.182 0.818 0.237
O 0.182 0.818 0.763
O 0.316 0.316 0.000
O 0.316 0.316 0.500
O 0.684 0.684 0.000
O 0.684 0.684 0.500
O 0.818 0.182 0.237
O 0.818 0.182 0.763